Compound: MgBeCo3
Source: the Alexandria database
Functional: GGA-PBE
Structure: relaxed

Values from the calculation:
Energy above the most stable polymorph in this dataset = 1373 meV per atom

Cell: 4.272 4.272 4.272 Å, 90.00 90.00 90.00°
Space group Pm-3m (No. 221)
Asymmetric unit:
Mg (0.000, 0.000, 0.000) [1 per cell]
Be (0.500, 0.500, 0.500) [1 per cell]
Co (0.000, 0.000, 0.500) [3 per cell]


Compound: Mg3BeCo
Source: the Alexandria database
Functional: GGA-PBE
Structure: relaxed

Cell: 4.623 4.623 4.623 Å, 90.00 90.00 90.00°
Space group Pm-3m (No. 221)
Asymmetric unit:
Mg (0.000, 0.000, 0.500) [3 per cell]
Be (0.000, 0.000, 0.000) [1 per cell]
Co (0.500, 0.500, 0.500) [1 per cell]


Compound: MgBe2Co2
Source: the Alexandria database
Functional: GGA-PBE
Structure: relaxed

Values from the calculation:
Energy above the most stable polymorph in this dataset = 0 meV per atom

Cell: 6.162 6.162 2.731 Å, 90.00 90.00 90.00°
Space group P4/mbm (No. 127)
Asymmetric unit:
Mg (0.000, 0.000, 0.000) [2 per cell]
Be (0.123, 0.377, 0.000) [4 per cell]
Co (0.163, 0.663, 0.500) [4 per cell]


Taking the records one at a time from the top gives electronic total energy values of -3.630; -2.382; -4.789 eV per atom.